The following is a GGA+U calculation of a geometry-optimized VWO3 structure, from the Alexandria database.

Calculated values
Total energy   -6.738 eV per atom
Magnetic moment   1.00 μB/atom

a = 3.8678 Å, b = 3.8678 Å, c = 3.8678 Å
α = 90.00°, β = 90.00°, γ = 90.00°
Space group Pm-3m (No. 221)
Asymmetric unit:
V1 0.0000 0.0000 0.0000 x1
W1 0.5000 0.5000 0.5000 x1
O1 0.0000 0.0000 0.5000 x3